Entry 1:
Density functional theory data (meta-GGA SCAN) for a crystal of Li2FeMo relaxed with PBEsol.

## Properties
Excess energy over the best structure of this formula in the dataset = 0.0000 eV per atom
N(E_F) = 2.59 states/eV/cell
Crystal system = monoclinic
Formation enthalpy at 0 K = 0.35 eV/atom

The structure in POSCAR format:
```
Li2FeMo
1.0
2.4678 0.0000 -0.0345
0.0000 4.0691 0.0000
-0.8006 0.0000 5.4351
Fe Li Mo
1 2 1
Direct
0.2054 0.5000 0.7193
0.0304 0.0000 0.0079
0.7739 0.5000 0.2316
0.4903 0.0000 0.5412
```

=====

Entry 2:
Density functional theory data (meta-GGA SCAN) for a crystal of Ca3Mg2 relaxed with PBEsol.

## Properties
N(E_F) = 8.07 states/eV/cell
Crystal system = orthorhombic
Formation enthalpy at 0 K = 0.03 eV/atom

The structure in POSCAR format:
```
Ca3Mg2
1.0
-4.9325 3.6055 -1.8646
-5.6478 -3.1406 -2.0748
-0.5264 -1.7361 8.9776
Ca Mg
6 4
Direct
0.7291 0.9251 0.2090
0.4452 0.0749 0.7910
0.7701 0.4251 0.2910
0.9042 0.5749 0.7090
0.0846 0.0000 0.0000
0.3346 0.5000 0.5000
0.1878 0.4595 0.0940
0.5533 0.5405 0.9060
0.3438 0.9595 0.4060
0.8973 0.0405 0.5940
```

=====

Entry 3:
Density functional theory data (meta-GGA SCAN) for a crystal of CaTe2Mo relaxed with PBEsol.

## Properties
Excess energy over the best structure of this formula in the dataset = 0.1664 eV per atom
N(E_F) = 1.05 states/eV/cell
Crystal system = monoclinic
Uncorrected formation energy = -370 meV/atom

The structure in POSCAR format:
```
CaTe2Mo
1.0
3.5115 0.0000 0.0000
-1.7557 4.5867 0.0078
0.0000 -2.3802 6.3835
Mo Te Ca
1 2 1
Direct
0.7546 0.5092 0.0867
0.0587 0.1173 0.1461
0.2366 0.4733 0.7687
0.4501 0.9002 0.4987
```

=====

Entry 4:
Density functional theory data (meta-GGA SCAN) for a crystal of MgSeCl relaxed with PBEsol.

## Properties
N(E_F) = 0.87 states/eV/cell
Crystal system = orthorhombic
Uncorrected formation energy = -1040 meV/atom

The structure in POSCAR format:
```
MgSeCl
1.0
3.1617 0.1095 0.0000
-0.7875 3.0640 0.0000
-1.1871 -1.5868 6.7553
Mg Se Cl
1 1 1
Direct
0.6565 0.6565 0.3131
0.2965 0.2965 0.5929
0.0470 0.0470 0.0940
```

=====

- Among the records above, which one has the highest N(E_F)?
  Ca3Mg2

=====

- Which value of N(E_F) does entry 3 give?
  1.05 states/eV/cell

=====

- N(E_F) of number 1 (Li2FeMo)?
  2.59 states/eV/cell

=====

- N(E_F) of number 1 (Li2FeMo)?
  2.59 states/eV/cell